A relaxed structure of BeFeMoP2. Source: the Alexandria database, functional PBE-GGA.

Computed properties:
The calculation puts the density of states at the Fermi level at 1.03 states/eV per atom. The value obtained for the calculated formation energy is 0.978 eV per atom. The crystal system is tetragonal. The value obtained for the size of the total moment is 0.000 μB/atom. Its space group is No. 123.

a = 4.056 Å, b = 4.056 Å, c = 4.021 Å
α = 90.00°, β = 90.00°, γ = 90.00°
Element x y z (fractional)
Be: 0.000 0.000 0.000
Fe: 0.500 0.500 0.500
Mo: 0.000 0.000 0.500
P: 0.000 0.500 0.000
P: 0.500 0.000 0.000

A relaxed structure of TmTiPd5. Source: the Alexandria database, functional PBE-GGA.

Computed properties:
The calculation puts the density of states at the Fermi level at 0.51 states/eV per atom. The value obtained for the calculated formation energy is -0.633 eV per atom. The crystal system is tetragonal. The value obtained for the size of the total moment is 0.000 μB/atom. Its space group is No. 123.

a = 4.098 Å, b = 4.098 Å, c = 7.288 Å
α = 90.00°, β = 90.00°, γ = 90.00°
Element x y z (fractional)
Tm: 0.000 0.000 0.000
Ti: 0.500 0.500 0.500
Pd: 0.000 0.500 0.289
Pd: 0.000 0.500 0.711
Pd: 0.500 0.000 0.289
Pd: 0.500 0.000 0.711
Pd: 0.500 0.500 0.000

A relaxed structure of CdBPt3. Source: the Alexandria database, functional PBE-GGA.

Computed properties:
Its energy relative to the lowest polymorph listed for this composition is 0.221 eV/atom. The calculation puts the density of states at the Fermi level at 0.46 states/eV per atom. The value obtained for the calculated formation energy is -0.130 eV per atom. The crystal system is orthorhombic. The value obtained for the size of the total moment is 0.000 μB/atom. Its space group is No. 62.

a = 5.268 Å, b = 7.444 Å, c = 8.210 Å
α = 90.00°, β = 90.00°, γ = 90.00°
Element x y z (fractional)
Cd: 0.000 0.000 0.000
Cd: 0.000 0.500 0.000
Cd: 0.500 0.000 0.500
Cd: 0.500 0.500 0.500
B: 0.004 0.250 0.468
B: 0.496 0.750 0.968
B: 0.504 0.250 0.032
B: 0.996 0.750 0.532
Pt: 0.001 0.567 0.341
Pt: 0.001 0.933 0.341
Pt: 0.228 0.750 0.773
Pt: 0.272 0.250 0.273
Pt: 0.499 0.067 0.841
Pt: 0.499 0.433 0.841
Pt: 0.501 0.567 0.159
Pt: 0.501 0.933 0.159
Pt: 0.728 0.750 0.727
Pt: 0.772 0.250 0.227
Pt: 0.999 0.067 0.659
Pt: 0.999 0.433 0.659